(1)
# SmY2Ga4, relaxed, DFT PBE
# DFT total energy: -4.923 eV/atom
# energy relative to the elements: -672.1 meV/atom
data_SmY2Ga4
_cell_length_a 4.1545
_cell_length_b 4.3019
_cell_length_c 18.2965
_cell_angle_alpha 90.00
_cell_angle_beta 90.00
_cell_angle_gamma 90.00
_space_group_name_H-M_alt 'I m m m'
_space_group_IT_number 71
_space_group_name_Hall '-I 2 2'
loop_
_atom_site_label
_atom_site_type_symbol
_atom_site_fract_x
_atom_site_fract_y
_atom_site_fract_z
_atom_site_occupancy
Sm1 Sm 0.0000 0.0000 0.0000 1
Y1 Y 0.0000 0.5000 0.3154 1
Ga1 Ga 0.0000 0.0000 0.4328 1
Ga2 Ga 0.0000 0.5000 0.1469 1

=====

(2)
# Pr6Zn2Ag, relaxed, DFT PBE
# DFT total energy: -3.924 eV/atom
# energy relative to the elements: -138.1 meV/atom
# polymorph energy (0 for the lowest one): 0.00 eV/f.u.
data_Pr6Zn2Ag
_cell_length_a 9.9627
_cell_length_b 10.3484
_cell_length_c 10.4251
_cell_angle_alpha 90.00
_cell_angle_beta 90.00
_cell_angle_gamma 90.00
_space_group_name_H-M_alt 'I m m m'
_space_group_IT_number 71
_space_group_name_Hall '-I 2 2'
loop_
_atom_site_label
_atom_site_type_symbol
_atom_site_fract_x
_atom_site_fract_y
_atom_site_fract_z
_atom_site_occupancy
Pr1 Pr 0.0000 0.1784 0.2160 1
Pr2 Pr 0.1789 0.5000 0.2361 1
Pr3 Pr 0.1974 0.2462 0.5000 1
Zn1 Zn 0.0000 0.3771 0.0000 1
Zn2 Zn 0.1355 0.0000 0.0000 1
Ag1 Ag 0.0000 0.0000 0.5000 1
Ag2 Ag 0.0000 0.5000 0.5000 1

=====

(3)
# PuSb2Rh4, relaxed, DFT PBE
# DFT total energy: -7.871 eV/atom
# energy relative to the elements, uncorrected: -0.45 eV/atom
data_PuSb2Rh4
_cell_length_a 16.5236
_cell_length_b 4.3316
_cell_length_c 7.3804
_cell_angle_alpha 90.00
_cell_angle_beta 90.00
_cell_angle_gamma 90.00
_space_group_name_H-M_alt 'P n m a'
_space_group_IT_number 62
_space_group_name_Hall '-P 2ac 2n'
loop_
_atom_site_label
_atom_site_type_symbol
_atom_site_fract_x
_atom_site_fract_y
_atom_site_fract_z
_atom_site_occupancy
Pu1 Pu 0.1468 0.2500 0.0439 1
Sb1 Sb 0.0244 0.7500 0.2558 1
Sb2 Sb 0.1993 0.2500 0.5960 1
Rh1 Rh 0.0401 0.7500 0.9020 1
Rh2 Rh 0.0570 0.2500 0.4413 1
Rh3 Rh 0.1784 0.7500 0.3753 1
Rh4 Rh 0.2107 0.7500 0.7983 1

=====

(4)
# Nd2BiIr, relaxed, DFT PBE
# DFT total energy: -6.210 eV/atom
# energy relative to the elements: -640.8 meV/atom
# polymorph energy (0 for the lowest one): 0.00 eV/f.u.
data_Nd2BiIr
_cell_length_a 3.5929
_cell_length_b 3.5929
_cell_length_c 8.3489
_cell_angle_alpha 90.00
_cell_angle_beta 90.00
_cell_angle_gamma 90.00
_space_group_name_H-M_alt 'P 4/m m m'
_space_group_IT_number 123
_space_group_name_Hall '-P 4 2'
loop_
_atom_site_label
_atom_site_type_symbol
_atom_site_fract_x
_atom_site_fract_y
_atom_site_fract_z
_atom_site_occupancy
Nd1 Nd 0.0000 0.0000 0.2052 1
Bi1 Bi 0.5000 0.5000 0.5000 1
Ir1 Ir 0.5000 0.5000 0.0000 1

=====

(5)
# TiNiHRh2, relaxed, DFT PBE
# DFT total energy: -6.775 eV/atom
# polymorph energy (0 for the lowest one): 0.38 eV/f.u.
data_TiNiHRh2
_cell_length_a 3.8494
_cell_length_b 3.8494
_cell_length_c 3.8585
_cell_angle_alpha 90.00
_cell_angle_beta 90.00
_cell_angle_gamma 90.00
_space_group_name_H-M_alt 'P 4/m m m'
_space_group_IT_number 123
_space_group_name_Hall '-P 4 2'
loop_
_atom_site_label
_atom_site_type_symbol
_atom_site_fract_x
_atom_site_fract_y
_atom_site_fract_z
_atom_site_occupancy
Ti1 Ti 0.0000 0.0000 0.0000 1
Ni1 Ni 0.5000 0.5000 0.0000 1
H1 H 0.0000 0.0000 0.5000 1
Rh1 Rh 0.0000 0.5000 0.5000 1

=====

(6)
# Ho2Si2Tc2C, relaxed, DFT PBE
# DFT total energy: -7.823 eV/atom
# energy relative to the elements, uncorrected: -0.69 eV/atom
data_Ho2Si2Tc2C
_cell_length_a 10.9712
_cell_length_b 3.9891
_cell_length_c 6.9260
_cell_angle_alpha 90.00
_cell_angle_beta 128.02
_cell_angle_gamma 90.00
_space_group_name_H-M_alt 'C 1 2/m 1'
_space_group_IT_number 12
_space_group_name_Hall '-C 2y'
loop_
_atom_site_label
_atom_site_type_symbol
_atom_site_fract_x
_atom_site_fract_y
_atom_site_fract_z
_atom_site_occupancy
Ho1 Ho 0.0695 0.0000 0.2976 1
Si1 Si 0.1435 0.5000 0.6873 1
Tc1 Tc 0.2063 0.5000 0.0957 1
C1 C 0.0000 0.5000 0.0000 1

=====

(7)
# TmZn9Pd2, relaxed, DFT PBE
# DFT total energy: -2.467 eV/atom
# energy relative to the elements: -273.6 meV/atom
# polymorph energy (0 for the lowest one): 0.64 eV/f.u.
data_TmZn9Pd2
_cell_length_a 5.0908
_cell_length_b 5.0908
_cell_length_c 24.9557
_cell_angle_alpha 90.00
_cell_angle_beta 90.00
_cell_angle_gamma 120.00
_space_group_name_H-M_alt 'R -3 m'
_space_group_IT_number 166
_space_group_name_Hall '-R 3 2"'
loop_
_atom_site_label
_atom_site_type_symbol
_atom_site_fract_x
_atom_site_fract_y
_atom_site_fract_z
_atom_site_occupancy
Tm1 Tm 0.0000 0.0000 0.0000 1
Zn1 Zn 0.0000 0.0000 0.3336 1
Zn2 Zn 0.0000 0.0000 0.5000 1
Zn3 Zn 0.0075 0.5038 0.9113 1
Pd1 Pd 0.0000 0.0000 0.1371 1

=====

(8)
# Be2AgCl, relaxed, DFT PBE
# DFT total energy: -2.687 eV/atom
# polymorph energy (0 for the lowest one): 1.26 eV/f.u.
# energy relative to the elements, uncorrected: 0.35 eV/atom
data_Be2AgCl
_cell_length_a 5.7537
_cell_length_b 5.7537
_cell_length_c 7.6016
_cell_angle_alpha 90.00
_cell_angle_beta 90.00
_cell_angle_gamma 90.00
_space_group_name_H-M_alt 'I -4 2 d'
_space_group_IT_number 122
_space_group_name_Hall 'I -4 2bw'
loop_
_atom_site_label
_atom_site_type_symbol
_atom_site_fract_x
_atom_site_fract_y
_atom_site_fract_z
_atom_site_occupancy
Be1 Be 0.2283 0.2500 0.1250 1
Ag1 Ag 0.0000 0.0000 0.5000 1
Cl1 Cl 0.0000 0.0000 0.0000 1